# DyY4Ho2Sc, optimized geometry, DFT PBE
data_DyY4Ho2Sc
_cell_length_a 4.977
_cell_length_b 4.977
_cell_length_c 9.946
_cell_angle_alpha 90.00
_cell_angle_beta 90.00
_cell_angle_gamma 90.00
_space_group_name_H-M_alt 'P 4/m m m'
_space_group_IT_number 123
_space_group_name_Hall '-P 4 2'
loop_
_atom_site_label
_atom_site_type_symbol
_atom_site_fract_x
_atom_site_fract_y
_atom_site_fract_z
_atom_site_occupancy
Dy1 Dy 0.000 0.000 0.000 1
Y1 Y 0.000 0.500 0.255 1
Ho1 Ho 0.000 0.000 0.500 1
Ho2 Ho 0.500 0.500 0.000 1
Sc1 Sc 0.500 0.500 0.500 1
# Energy of formation (eV per atom): 0.037
# Density of states at the Fermi level (states/eV per atom): 1.564
# Crystal system: tetragonal